Record 1
The following is a DFT calculation (PBE) of CuPtCl3 after structural relaxation.

The space-group type is Pm-3m, No. 221. Its formation energy from raw total energies is 0.161 eV/atom.

Unit cell a=4.8723 b=4.8723 c=4.8723 alpha=90.00 beta=90.00 gamma=90.00
Last column: nearest neighbours and their distance in Å.
Atoms (fractional coordinates):
Cu 0.0000 0.0000 0.0000  12 Cl 3.45
Pt 0.5000 0.5000 0.5000  6 Cl 2.44
Cl 0.0000 0.5000 0.5000  2 Pt 2.44
Cl 0.5000 0.0000 0.5000  2 Pt 2.44
Cl 0.5000 0.5000 0.0000  2 Pt 2.44


Record 2
The following is a DFT calculation (PBE) of ZrInMo2 after structural relaxation.

The space-group type is R-3m, No. 166. The formation energy is 459 meV/atom.

Unit cell a=10.1154 b=10.1154 c=10.1154 alpha=16.83 beta=16.83 gamma=16.83
Last column: nearest neighbours and their distance in Å.
Atoms (fractional coordinates):
Zr 0.0000 0.0000 0.0000  6 Zr 2.96, 6 Mo 3.08
In 0.5000 0.5000 0.5000  6 In 2.96, 6 Mo 2.96
Mo 0.2475 0.2475 0.2475  6 Mo 2.96, 3 In 2.96, 3 Zr 3.08
Mo 0.7525 0.7525 0.7525  6 Mo 2.96, 3 In 2.96, 3 Zr 3.08